No. 1
The following is a PBE calculation of crystalline HoPuRuPt at its relaxed geometry, from the Alexandria database.

SG: F-43m (216)
total moment: 4.5 Bohr magnetons per cell
volume: 81.08 Å³/cell
calculated total energy: -9.132 eV/atom
mass density: 14.4 g/cm3
DOS at the Fermi energy: 1.942 states/eV/atom

a = 4.8582 Å, b = 4.8582 Å, c = 4.8582 Å
α = 60.00°, β = 60.00°, γ = 60.00°
Last column: nearest neighbours and their distance in Å.
Fractional positions:
Ho (0.0000, 0.0000, 0.0000)  4 Ru 2.98, 4 Pt 2.98
Pu (0.5000, 0.5000, 0.5000)  4 Pt 2.98, 4 Ru 2.98
Ru (0.2500, 0.2500, 0.2500)  4 Pu 2.98, 4 Ho 2.98
Pt (0.7500, 0.7500, 0.7500)  4 Ho 2.98, 4 Pu 2.98

---

No. 2
The following is a PBE calculation of crystalline NbCr at its relaxed geometry, from the Alexandria database.

SG: Cmme (67)
total moment: 0.0 Bohr magnetons per cell
volume: 60.08 Å³/cell
calculated total energy: -9.740 eV/atom
mass density: 8.0 g/cm3
DOS at the Fermi energy: 0.623 states/eV/atom

a = 2.7278 Å, b = 2.7278 Å, c = 8.6268 Å
α = 90.00°, β = 90.00°, γ = 110.61°
Last column: nearest neighbours and their distance in Å.
Fractional positions:
Nb (0.2500, 0.7500, 0.8550)  2 Cr 2.68, 6 Nb 2.73-2.94
Nb (0.7500, 0.2500, 0.1450)  2 Cr 2.68, 6 Nb 2.73-2.94
Cr (0.2500, 0.7500, 0.3981)  2 Cr 2.35
Cr (0.7500, 0.2500, 0.6019)  2 Cr 2.35

---

No. 3
The following is a PBE calculation of crystalline AcNdHo6 at its relaxed geometry, from the Alexandria database.

SG: C2/m (12)
total moment: 0.0 Bohr magnetons per cell
volume: 294.52 Å³/cell
calculated total energy: -4.141 eV/atom
offset from the most stable computed form: 358 meV/atom
mass density: 7.7 g/cm3
DOS at the Fermi energy: 2.024 states/eV/atom

a = 5.9941 Å, b = 5.9941 Å, c = 8.8900 Å
α = 100.35°, β = 100.35°, γ = 70.98°
Last column: nearest neighbours and their distance in Å.
Fractional positions:
Ac (0.0000, 0.0000, 0.0000)  10 Ho 3.51-3.80
Nd (0.5000, 0.5000, 0.5000)  10 Ho 3.46-3.66
Ho (0.0442, 0.5223, 0.7014)  4 Ho 3.29-3.63, 2 Nd 3.46-3.48, 1 Ac 3.51
Ho (0.3772, 0.3772, 0.0806)  3 Ho 3.05-3.29
Ho (0.4777, 0.9558, 0.2986)  4 Ho 3.29-3.63, 2 Nd 3.46-3.48, 1 Ac 3.51
Ho (0.5223, 0.0442, 0.7014)  4 Ho 3.29-3.63, 2 Nd 3.46-3.48, 1 Ac 3.51
Ho (0.6228, 0.6228, 0.9194)  3 Ho 3.05-3.29
Ho (0.9558, 0.4777, 0.2986)  4 Ho 3.29-3.63, 2 Nd 3.46-3.48, 1 Ac 3.51

---

No. 4
The following is a PBE calculation of crystalline Pr8HgSe3I4 at its relaxed geometry, from the Alexandria database.

SG: R-3m (166)
total moment: 0.0 Bohr magnetons per cell
volume: 511.16 Å³/cell
calculated total energy: -4.649 eV/atom
mass density: 6.7 g/cm3
DOS at the Fermi energy: 0.625 states/eV/atom

a = 9.3086 Å, b = 9.3086 Å, c = 9.3086 Å
α = 55.53°, β = 55.53°, γ = 55.53°
Last column: nearest neighbours and their distance in Å.
Fractional positions:
Pr (0.2227, 0.7408, 0.7408)  2 Se 2.94, 1 Hg 3.05
Pr (0.2313, 0.2313, 0.2313)  3 Se 2.93
Pr (0.2592, 0.2592, 0.7773)  2 Se 2.94, 1 Hg 3.05
Pr (0.2592, 0.7774, 0.2592)  2 Se 2.94, 1 Hg 3.05
Pr (0.7408, 0.2226, 0.7408)  2 Se 2.94, 1 Hg 3.05
Pr (0.7408, 0.7408, 0.2226)  2 Se 2.94, 1 Hg 3.05
Pr (0.7687, 0.7687, 0.7687)  3 Se 2.93
Pr (0.7773, 0.2592, 0.2592)  2 Se 2.94, 1 Hg 3.05
Hg (0.5000, 0.5000, 0.5000)  6 Pr 3.05
Se (0.0000, 0.0000, 0.5000)  6 Pr 2.93-2.94
Se (0.0000, 0.5000, 0.0000)  6 Pr 2.93-2.94
Se (0.5000, 0.0000, 0.0000)  6 Pr 2.93-2.94
I (0.0000, 0.0000, 0.0000)  6 Pr 3.35
I (0.0000, 0.5000, 0.5000)  6 Pr 3.45-3.47
I (0.5000, 0.0000, 0.5000)  6 Pr 3.45-3.47
I (0.5000, 0.5000, 0.0000)  6 Pr 3.45-3.47

---

No. 5
The following is a PBE calculation of crystalline CrIr2Br at its relaxed geometry, from the Alexandria database.

SG: P4/mmm (123)
total moment: 3.0 Bohr magnetons per cell
volume: 63.13 Å³/cell
calculated total energy: -6.315 eV/atom
offset from the most stable computed form: 530 meV/atom
mass density: 13.6 g/cm3
DOS at the Fermi energy: 1.096 states/eV/atom

a = 4.0373 Å, b = 4.0373 Å, c = 3.8730 Å
α = 90.00°, β = 90.00°, γ = 90.00°
Last column: nearest neighbours and their distance in Å.
Fractional positions:
Cr (0.0000, 0.0000, 0.0000)  8 Ir 2.80, 4 Br 2.85
Ir (0.0000, 0.5000, 0.5000)  4 Br 2.80, 4 Cr 2.80, 4 Ir 2.85
Ir (0.5000, 0.0000, 0.5000)  4 Br 2.80, 4 Cr 2.80, 4 Ir 2.85
Br (0.5000, 0.5000, 0.0000)  8 Ir 2.80, 4 Cr 2.85

---

No. 6
The following is a PBE calculation of crystalline MgZnAgRh at its relaxed geometry, from the Alexandria database.

SG: Pmmm (47)
total moment: 0.0 Bohr magnetons per cell
volume: 62.03 Å³/cell
calculated total energy: -3.594 eV/atom
mass density: 8.0 g/cm3
DOS at the Fermi energy: 0.254 states/eV/atom

a = 3.5356 Å, b = 4.1698 Å, c = 4.2075 Å
α = 90.00°, β = 90.00°, γ = 90.00°
Last column: nearest neighbours and their distance in Å.
Fractional positions:
Mg (0.0000, 0.0000, 0.0000)  4 Ag 2.73, 4 Rh 2.75, 4 Zn 2.96
Zn (0.0000, 0.5000, 0.5000)  4 Rh 2.73, 4 Ag 2.75, 4 Mg 2.96
Ag (0.5000, 0.5000, 0.0000)  4 Mg 2.73, 4 Zn 2.75, 4 Rh 2.96
Rh (0.5000, 0.0000, 0.5000)  4 Zn 2.73, 4 Mg 2.75, 4 Ag 2.96

---

No. 7
The following is a PBE calculation of crystalline LiHoErPt at its relaxed geometry, from the Alexandria database.

SG: F-43m (216)
total moment: 0.0 Bohr magnetons per cell
volume: 85.37 Å³/cell
calculated total energy: -4.968 eV/atom
mass density: 10.4 g/cm3
DOS at the Fermi energy: 0.790 states/eV/atom

a = 4.9423 Å, b = 4.9423 Å, c = 4.9423 Å
α = 60.00°, β = 60.00°, γ = 60.00°
Last column: nearest neighbours and their distance in Å.
Fractional positions:
Li (0.0000, 0.0000, 0.0000)  4 Er 3.03, 4 Ho 3.03
Ho (0.2500, 0.2500, 0.2500)  4 Pt 3.03, 4 Li 3.03
Er (0.7500, 0.7500, 0.7500)  4 Pt 3.03, 4 Li 3.03
Pt (0.5000, 0.5000, 0.5000)  4 Ho 3.03, 4 Er 3.03

---

No. 8
The following is a PBE calculation of crystalline CeNd2ErAs4 at its relaxed geometry, from the Alexandria database.

SG: P2/m (10)
total moment: 0.5 Bohr magnetons per cell
volume: 210.99 Å³/cell
calculated total energy: -6.320 eV/atom
mass density: 7.0 g/cm3
DOS at the Fermi energy: 0.780 states/eV/atom

a = 7.2787 Å, b = 4.2106 Å, c = 7.2985 Å
α = 90.00°, β = 109.39°, γ = 90.00°
Last column: nearest neighbours and their distance in Å.
Fractional positions:
Ce (0.0000, 0.0000, 0.0000)  6 As 2.94-2.95
Nd (0.0000, 0.5000, 0.5000)  6 As 3.02-3.03
Nd (0.5000, 0.0000, 0.5000)  6 As 3.00-3.01
Er (0.5000, 0.5000, 0.0000)  6 As 2.93
As (0.2496, 0.5000, 0.2416)  1 Er 2.93, 2 Ce 2.95, 3 Nd 3.00-3.02
As (0.2552, 0.0000, 0.7606)  2 Er 2.93, 1 Ce 2.94, 3 Nd 3.01-3.03
As (0.7448, 0.0000, 0.2394)  2 Er 2.93, 1 Ce 2.94, 3 Nd 3.01-3.03
As (0.7504, 0.5000, 0.7584)  1 Er 2.93, 2 Ce 2.95, 3 Nd 3.00-3.02

---

What is the calculated total energy in the fifth record? -6.315 eV/atom

---

Among the records above, which one has the lowest calculated total energy? NbCr